DFT (GGA-PBE) results for a relaxed K2In4Hg3Bi crystal.

Unit cell a=5.0674 b=5.0674 c=12.4576 alpha=90.00 beta=90.00 gamma=90.00
Fractional positions:
K (0.5000, 0.0000, 0.2473)
K (0.0000, 0.5000, 0.7527)
In (0.5000, 0.5000, 0.0000)
In (0.0000, 0.0000, 0.0000)
In (0.5000, 0.0000, 0.6404)
In (0.0000, 0.5000, 0.3596)
Hg (0.0000, 0.0000, 0.5000)
Hg (0.5000, 0.0000, 0.8712)
Hg (0.0000, 0.5000, 0.1288)
Bi (0.5000, 0.5000, 0.5000)

Output
Formation enthalpy at 0 K (eV per atom): -0.159